Entry 1:
Np2Co3NiAs4, relaxed, DFT PBE; formation energy from the elements = -455 meV per atom; crystal system = tetragonal; volume = 15.83 Å³/atom; final energy = -7.613 eV per atom
1.0
4.124 0.000 0.000
0.000 4.124 0.000
0.000 0.000 9.310
Np Co Ni As
2 3 1 4
direct
0.000 0.500 0.250
0.500 0.000 0.750
0.000 0.000 0.000
0.000 0.500 0.616
0.500 0.000 0.384
0.500 0.500 0.000
0.000 0.000 0.500
0.000 0.500 0.864
0.500 0.000 0.136
0.500 0.500 0.500


Entry 2:
Np2CoNi3As4, relaxed, DFT PBE; formation energy from the elements = -468 meV per atom; crystal system = tetragonal; volume = 16.13 Å³/atom; final energy = -7.361 eV per atom
1.0
4.165 0.000 0.000
0.000 4.165 0.000
0.000 0.000 9.298
Np Co Ni As
2 1 3 4
direct
0.000 0.500 0.248
0.500 0.000 0.752
0.500 0.500 0.000
0.000 0.000 0.000
0.000 0.500 0.619
0.500 0.000 0.381
0.000 0.000 0.500
0.000 0.500 0.868
0.500 0.000 0.132
0.500 0.500 0.500


Sequential DOS(E_F) output: 23.81 21.26 states/eV per cell